VASP calculation (SCAN) on a crystal of Zn2Pt relaxed with PBEsol.

Cell: 4.870 4.870 4.870 Å, 60.00 60.00 60.00°
Sites, in units of the cell vectors:
Zn: 0.000 0.000 0.000
Zn: 0.000 0.000 0.500
Zn: 0.000 0.500 0.000
Zn: 0.500 0.000 0.000
Pt: 0.375 0.375 0.375
Pt: 0.625 0.625 0.625

Results
As for the crystal system: cubic. Its calculated formation energy is -0.228 eV per atom.